Sc2SiRh: relaxed, PBEsol.

Results
Final energy: -29.635 eV per cell
Mass density: 5.3 g/cm3
Crystal system: tetragonal
Formation energy (no corrections): -635 meV per atom

Lattice parameters (Å, degrees): 2.9994 2.9994 7.6794 90.00 90.00 90.00
Last column: nearest neighbours and their distance in Å.
Positions (direct):
Sc (0.5000, 0.5000, 0.2972)  4 Si 2.84, 4 Sc 3.00, 1 Rh 3.16
Rh (0.5000, 0.5000, 0.7081)  4 Si 2.47
Sc (0.0000, 0.0000, 0.9524)  4 Rh 2.83, 4 Sc 3.00, 1 Si 3.15
Si (0.0000, 0.0000, 0.5423)  4 Rh 2.47